1.
CaTe2Ir, optimized geometry, DFT PBE; space group = F-43m; ρ = 8.500 g/cm3; total DFT energy (no corrections) = -65.98 eV for the cell shown; magnetic moment = 0.000 μB/f.u.; ΔE to the lowest computed polymorph = 0.747 eV/atom; formation energy from raw total energies = 0.7 eV/f.u.
1.0
7.249 0.000 0.000
0.000 7.249 0.000
0.000 0.000 7.249
Ca Te Ir
4 8 4
direct
0.000 0.000 0.000
0.000 0.500 0.500
0.500 0.000 0.500
0.500 0.500 0.000
0.000 0.000 0.500
0.000 0.500 0.000
0.250 0.250 0.750
0.250 0.750 0.250
0.500 0.000 0.000
0.500 0.500 0.500
0.750 0.250 0.250
0.750 0.750 0.750
0.250 0.250 0.250
0.250 0.750 0.750
0.750 0.250 0.750
0.750 0.750 0.250

2.
Tb12Al6In, optimized geometry, DFT PBE; space group = Im-3; ρ = 6.853 g/cm3; formation energy from the elements = -4.8 kcal/mol of atoms; total DFT energy (no corrections) = -84.73 eV for the cell shown; magnetic moment = 0.000 μB/f.u.
1.0
-5.095 5.095 5.095
5.095 -5.095 5.095
5.095 5.095 -5.095
Tb Al In
12 6 1
direct
0.097 0.286 0.811
0.189 0.475 0.286
0.189 0.903 0.714
0.286 0.189 0.475
0.286 0.811 0.097
0.475 0.286 0.189
0.525 0.714 0.811
0.714 0.189 0.903
0.714 0.811 0.525
0.811 0.097 0.286
0.811 0.525 0.714
0.903 0.714 0.189
0.124 0.500 0.624
0.376 0.876 0.500
0.500 0.376 0.876
0.500 0.624 0.124
0.624 0.124 0.500
0.876 0.500 0.376
0.000 0.000 0.000

- Which of these has the highest ρ?
  CaTe2Ir